The following is a PBE-GGA calculation of Sm3GeCl2 after structural relaxation, from the Alexandria database.

abc: 4.3088 5.7829 7.0054
angles: 114.38 107.91 90.00
Last column: nearest neighbours and their distance in Å.
Positions (direct):
Sm 0.8423 0.3423 0.1847  2 Ge 2.87, 4 Cl 2.89-3.04
Sm 0.1577 0.6577 0.8153  2 Ge 2.87, 4 Cl 2.89-3.04
Sm 0.5000 0.0000 0.5000  2 Ge 2.89, 4 Cl 2.92
Ge 0.5000 0.5000 0.5000  6 Sm 2.87-2.89
Cl 0.8358 0.8358 0.1716  6 Sm 2.89-3.04
Cl 0.1642 0.1642 0.8284  6 Sm 2.89-3.04

Summary:
Its space group is Immm. The calculation puts the energy relative to the elements, uncorrected at -1.2616 eV/atom.